The following is a PBE-GGA calculation of a relaxed MnTe2Se crystal, from Alexandria.

a = 4.047 Å, b = 4.047 Å, c = 16.188 Å
α = 90.00°, β = 90.00°, γ = 90.00°
Space group I4/mmm (No. 139)
Asymmetric unit:
Mn  0.000  0.000  0.000 [2 per cell]
Te  0.000  0.500  0.250 [4 per cell]
Se  0.000  0.000  0.500 [2 per cell]

Calculated values
- formation energy (no corrections) (kJ/mol of atoms) = 26.4
- calculated volume (A^3/atom) = 33.13

The following is a PBE-GGA calculation of a relaxed MnTe2Se crystal, from Alexandria.

a = 3.705 Å, b = 4.603 Å, c = 12.253 Å
α = 90.00°, β = 90.00°, γ = 90.00°
Space group Immm (No. 71)
Asymmetric unit:
Mn  0.000  0.000  0.000 [2 per cell]
Te  0.000  0.500  0.336 [4 per cell]
Se  0.000  0.000  0.500 [2 per cell]

Calculated values
- formation energy (no corrections) (kJ/mol of atoms) = 6.7
- calculated volume (A^3/atom) = 26.12

The following is a PBE-GGA calculation of a relaxed Mn2TeSe crystal, from Alexandria.

a = 3.767 Å, b = 7.906 Å, c = 7.475 Å
α = 90.00°, β = 90.00°, γ = 90.00°
Space group Cmmm (No. 65)
Asymmetric unit:
Mn  0.000  0.000  0.231 [4 per cell]
Te  0.000  0.500  0.500 [2 per cell]
Se  0.000  0.500  0.000 [2 per cell]

Calculated values
- formation energy (no corrections) (kJ/mol of atoms) = 9.7
- calculated volume (A^3/atom) = 27.83
- energy relative to the lowest polymorph listed for this composition (eV per atom) = 0.2775

The following is a PBE-GGA calculation of a relaxed Mn2TeSe crystal, from Alexandria.

a = 3.436 Å, b = 3.760 Å, c = 13.985 Å
α = 90.00°, β = 90.00°, γ = 90.00°
Space group Imm2 (No. 44)
Asymmetric unit:
Mn  0.000  0.000  0.000 [2 per cell]
Mn  0.000  0.500  0.134 [2 per cell]
Te  0.000  0.000  0.423 [2 per cell]
Se  0.000  0.500  0.662 [2 per cell]

Calculated values
- formation energy (no corrections) (kJ/mol of atoms) = 2.1
- calculated volume (A^3/atom) = 22.58
- energy relative to the lowest polymorph listed for this composition (eV per atom) = 0.1982

The following is a PBE-GGA calculation of a relaxed Mn3Te2Se4 crystal, from Alexandria.

a = 3.4940 Å, b = 3.4940 Å, c = 25.2280 Å
α = 90.00°, β = 90.00°, γ = 120.00°
Space group P-6m2 (No. 187)
Asymmetric unit:
Mn  0.0000  0.0000  0.0000 [1 per cell]
Mn  0.3333  0.6667  0.2635 [2 per cell]
Te  0.3333  0.6667  0.0688 [2 per cell]
Se  0.0000  0.0000  0.2045 [2 per cell]
Se  0.0000  0.0000  0.3228 [2 per cell]

Calculated values
- formation energy (no corrections) (kJ/mol of atoms) = -24.1
- calculated volume (A^3/atom) = 29.64

The following is a PBE-GGA calculation of a relaxed Th4MnTe2Se crystal, from Alexandria.

a = 7.565 Å, b = 4.119 Å, c = 7.860 Å
α = 90.00°, β = 107.71°, γ = 90.00°
Space group P2/m (No. 10)
Asymmetric unit:
Th  0.203  0.000  0.196 [2 per cell]
Th  0.244  0.500  0.786 [2 per cell]
Mn  0.000  0.500  0.000 [1 per cell]
Te  0.000  0.000  0.500 [1 per cell]
Te  0.500  0.500  0.500 [1 per cell]
Se  0.500  0.000  0.000 [1 per cell]

Calculated values
- formation energy (no corrections) (kJ/mol of atoms) = -86.5
- calculated volume (A^3/atom) = 29.16

The following is a PBE-GGA calculation of a relaxed Mn2VTeSe crystal, from Alexandria.

a = 4.872 Å, b = 4.872 Å, c = 4.891 Å
α = 90.00°, β = 90.00°, γ = 90.00°
Space group P4/mmm (No. 123)
Asymmetric unit:
Mn  0.000  0.500  0.000 [2 per cell]
V  0.000  0.000  0.000 [1 per cell]
Te  0.000  0.000  0.500 [1 per cell]
Se  0.500  0.500  0.500 [1 per cell]

Calculated values
- formation energy (no corrections) (kJ/mol of atoms) = 79.2
- calculated volume (A^3/atom) = 23.22

The following is a PBE-GGA calculation of a relaxed MnZnTeSe2 crystal, from Alexandria.

a = 5.496 Å, b = 5.496 Å, c = 5.027 Å
α = 90.00°, β = 90.00°, γ = 90.00°
Space group P4/mmm (No. 123)
Asymmetric unit:
Mn  0.000  0.000  0.000 [1 per cell]
Zn  0.500  0.500  0.000 [1 per cell]
Te  0.500  0.500  0.500 [1 per cell]
Se  0.000  0.500  0.500 [2 per cell]

Calculated values
- formation energy (no corrections) (kJ/mol of atoms) = 62.9
- calculated volume (A^3/atom) = 30.37

The following is a PBE-GGA calculation of a relaxed ThMnSe3 crystal, from Alexandria.

a = 6.895 Å, b = 7.420 Å, c = 10.266 Å
α = 90.00°, β = 98.09°, γ = 90.00°
Space group P2_1/c (No. 14)
Asymmetric unit:
Th  0.008  0.240  0.158 [4 per cell]
Mn  0.450  0.664  0.122 [4 per cell]
Se  0.175  0.611  0.611 [4 per cell]
Se  0.222  0.063  0.441 [4 per cell]
Se  0.315  0.018  0.795 [4 per cell]

Calculated values
- formation energy (no corrections) (kJ/mol of atoms) = -110.3
- calculated volume (A^3/atom) = 26.00
- energy relative to the lowest polymorph listed for this composition (eV per atom) = 0.0701

The following is a PBE-GGA calculation of a relaxed ThMnSe crystal, from Alexandria.

a = 3.9984 Å, b = 3.9984 Å, c = 11.4073 Å
α = 90.00°, β = 90.00°, γ = 120.00°
Space group P-3m1 (No. 164)
Asymmetric unit:
Th  0.0000  0.0000  0.1910 [2 per cell]
Mn  0.3333  0.6667  0.9909 [2 per cell]
Se  0.3333  0.6667  0.3441 [2 per cell]

Calculated values
- formation energy (no corrections) (kJ/mol of atoms) = -61.9
- calculated volume (A^3/atom) = 26.32

The following is a PBE-GGA calculation of a relaxed Th2MnSe5 crystal, from Alexandria.

a = 15.781 Å, b = 6.789 Å, c = 7.590 Å
α = 90.00°, β = 96.38°, γ = 90.00°
Space group C2/c (No. 15)
Asymmetric unit:
Th  0.104  0.222  0.080 [8 per cell]
Mn  0.250  0.250  0.500 [4 per cell]
Se  0.000  0.078  0.750 [4 per cell]
Se  0.088  0.379  0.430 [8 per cell]
Se  0.220  0.080  0.815 [8 per cell]

Calculated values
- formation energy (no corrections) (kJ/mol of atoms) = -136.6
- calculated volume (A^3/atom) = 25.25

The following is a PBE-GGA calculation of a relaxed ThMnSe3 crystal, from Alexandria.

a = 4.049 Å, b = 12.742 Å, c = 9.365 Å
α = 90.00°, β = 90.00°, γ = 90.00°
Space group Cmcm (No. 63)
Asymmetric unit:
Th  0.000  0.249  0.250 [4 per cell]
Mn  0.000  0.000  0.000 [4 per cell]
Se  0.000  0.082  0.750 [4 per cell]
Se  0.000  0.357  0.558 [8 per cell]

Calculated values
- formation energy (no corrections) (kJ/mol of atoms) = -117.0
- calculated volume (A^3/atom) = 24.16
- energy relative to the lowest polymorph listed for this composition (eV per atom) = 0.0000